[1]
A plane-wave DFT calculation with PBE-GGA was carried out for Rb4PaO5 after structural relaxation.

Structure (extended XYZ):
```
10
Lattice="-4.454 4.454 2.850 4.454 -4.454 2.850 4.454 4.454 -2.850" Properties=species:S:1:pos:R:3 pbc="T T T"
Rb 2.651 0.932 0.000
Rb 3.522 -1.803 2.850
Rb 0.932 6.256 0.000
Rb 1.803 3.522 2.850
Pa 0.000 0.000 3.009
O 5.090 2.459 -0.029
O 2.459 3.817 -0.029
O 1.994 0.636 2.821
O -0.636 1.994 2.821
O 0.000 0.000 5.150
```

SG: I4, No. 79
Energy relative to the elements, uncorrected: -200.9 kJ/mol of atoms
Energy: -5.90 eV per atom
Magnetization: 1.1 Bohr magnetons per cell

[2]
A plane-wave DFT calculation with PBE-GGA was carried out for Li3Pd3Au5 after structural relaxation.

Structure (extended XYZ):
```
11
Lattice="8.821 0.000 0.000 -4.410 7.639 0.000 0.000 0.000 2.749" Properties=species:S:1:pos:R:3 pbc="T T T"
Li -0.776 1.344 0.000
Li 1.552 0.000 0.000
Li 3.635 6.295 0.000
Pd -1.798 3.115 1.374
Pd 3.597 0.000 1.374
Pd 2.612 4.525 1.374
Au -3.007 5.208 0.000
Au 1.404 2.431 0.000
Au 0.000 5.093 0.000
Au 4.410 2.546 0.000
Au 6.014 0.000 0.000
```

SG: P-62m, No. 189
Energy above the most stable polymorph in this dataset: 94 meV/atom
Energy: -3.47 eV per atom
Formation energy from the elements: -0.0401 eV per atom
Magnetization: 0.0 Bohr magnetons per cell

[3]
A plane-wave DFT calculation with PBE-GGA was carried out for AcPrSmAu after structural relaxation.

Structure (extended XYZ):
```
4
Lattice="0.000 3.935 3.935 3.935 0.000 3.935 3.935 3.935 0.000" Properties=species:S:1:pos:R:3 pbc="T T T"
Ac 0.000 0.000 0.000
Pr 5.902 5.902 5.902
Sm 1.967 1.967 1.967
Au 3.935 3.935 3.935
```

SG: F-43m, No. 216
Energy: -4.25 eV per atom
Formation energy from the elements: -0.0321 eV per atom
Magnetization: 0.6 Bohr magnetons per cell

Question: Number 1 is which compound?
Answer: Rb4PaO5